Crystalline DyRhO3 at its relaxed geometry. Source: Alexandria via LeMat-Bulk, functional GGA-PBE.

Cell: 5.271 5.822 7.651 Å, 90.00 90.00 90.00°
Fractional coordinates of all 20 atoms:
Rh 0.500 0.000 0.500
Rh 0.000 0.500 0.500
Rh 0.000 0.500 0.000
Rh 0.500 0.000 0.000
O 0.824 0.190 0.437
O 0.324 0.310 0.563
O 0.676 0.690 0.063
O 0.176 0.810 0.937
O 0.176 0.810 0.563
O 0.676 0.690 0.437
O 0.324 0.310 0.937
O 0.824 0.190 0.063
O 0.364 0.053 0.250
O 0.864 0.447 0.750
O 0.136 0.553 0.250
O 0.636 0.947 0.750
Dy 0.468 0.586 0.750
Dy 0.968 0.914 0.250
Dy 0.032 0.086 0.750
Dy 0.532 0.414 0.250

## Properties
M_tot = 0.0 μB per formula unit
Formation energy without anion corrections = -2.17 eV/atom

Crystalline Ac3YHo2Se6 at its relaxed geometry. Source: Alexandria via LeMat-Bulk, functional GGA-PBE.

Cell: 7.200 7.200 7.727 Å, 98.94 98.94 120.11°
Fractional coordinates of all 12 atoms:
Ac 0.166 0.834 0.500
Ac 0.834 0.166 0.500
Ac 0.500 0.500 0.500
Y 0.000 0.000 0.000
Ho 0.333 0.667 0.000
Ho 0.667 0.333 0.000
Se 0.927 0.592 0.782
Se 0.737 0.737 0.218
Se 0.073 0.408 0.218
Se 0.592 0.927 0.782
Se 0.263 0.263 0.782
Se 0.408 0.073 0.218

## Properties
M_tot = 0.0 μB per formula unit
Formation energy without anion corrections = -1.80 eV/atom

Crystalline Tb3MgIn4Te8 at its relaxed geometry. Source: Alexandria via LeMat-Bulk, functional GGA-PBE.

Cell: 8.816 9.368 8.815 Å, 118.07 120.00 90.00°
Fractional coordinates of all 16 atoms:
Tb 0.500 0.500 0.000
Tb 0.500 0.500 0.500
Tb 0.000 0.500 0.500
Mg 0.000 0.500 0.000
In 0.500 0.000 0.000
In 0.500 0.000 0.500
In 0.000 0.000 0.000
In 0.000 0.000 0.500
Te 0.238 0.721 0.983
Te 0.238 0.721 0.476
Te 0.258 0.273 0.516
Te 0.746 0.721 0.983
Te 0.254 0.279 0.017
Te 0.742 0.727 0.484
Te 0.762 0.279 0.524
Te 0.762 0.279 0.017

## Properties
M_tot = 0.0 μB per formula unit
Formation energy without anion corrections = -0.85 eV/atom

Crystalline Tb4B3SbRh12 at its relaxed geometry. Source: Alexandria via LeMat-Bulk, functional GGA-PBE.

Cell: 7.552 7.552 7.552 Å, 109.47 109.47 109.47°
Fractional coordinates of all 20 atoms:
Tb 0.500 0.500 0.500
Tb 0.000 0.000 0.500
Tb 0.500 0.000 0.000
Tb 0.000 0.500 0.000
B 0.500 0.000 0.500
B 0.500 0.500 0.000
B 0.000 0.500 0.500
Sb 0.000 0.000 0.000
Rh 0.250 0.500 0.750
Rh 0.723 0.000 0.723
Rh 0.277 0.000 0.277
Rh 0.750 0.500 0.250
Rh 0.723 0.723 0.000
Rh 0.277 0.277 0.000
Rh 0.750 0.250 0.500
Rh 0.250 0.750 0.500
Rh 0.500 0.250 0.750
Rh 0.000 0.723 0.723
Rh 0.500 0.750 0.250
Rh 0.000 0.277 0.277

## Properties
M_tot = 0.0 μB per formula unit
Formation energy without anion corrections = -0.60 eV/atom

Crystalline As2RuS at its relaxed geometry. Source: Alexandria via LeMat-Bulk, functional GGA-PBE.

Cell: 5.844 5.844 6.710 Å, 64.18 64.18 90.00°
Fractional coordinates of all 8 atoms:
Ru 0.000 0.000 0.000
Ru 0.750 0.250 0.500
As 0.658 0.125 0.250
As 0.092 0.625 0.250
As 0.375 0.342 0.750
As 0.875 0.908 0.750
S 0.500 0.500 0.000
S 0.250 0.750 0.500

## Properties
M_tot = 0.0 μB per formula unit
Formation energy without anion corrections = 0.22 eV/atom

Crystalline Ag2TePt at its relaxed geometry. Source: Alexandria via LeMat-Bulk, functional GGA-PBE.

Cell: 3.043 3.041 8.842 Å, 90.00 90.00 89.99°
Fractional coordinates of all 4 atoms:
Te 0.500 0.500 0.750
Ag 0.000 0.000 0.038
Ag 0.000 0.000 0.462
Pt 0.500 0.500 0.250

## Properties
M_tot = 0.0 μB per formula unit
Formation energy without anion corrections = 0.18 eV/atom

Among the records above, which one has the highest formation energy without anion corrections? As2RuS